The following is a PBEsol calculation of crystalline KCdHg2 at its relaxed geometry, from Alexandria via LeMat-Bulk.

abc: 3.403 4.043 7.766
angles: 90.00 90.00 90.00
Atoms (fractional coordinates):
K: 0.000 0.000 0.000
Cd: 0.000 0.000 0.500
Hg: 0.500 0.500 0.293
Hg: 0.500 0.500 0.707

D(E_F), states/eV/cell: 1.4
VASP energy, eV per atom: -1.009
Calculated volume, Å³ per cell: 107
DFT formation energy, eV/atom: -0.143

The following is a PBEsol calculation of crystalline CsScCl3 at its relaxed geometry, from Alexandria via LeMat-Bulk.

abc: 5.994 5.994 5.994
angles: 90.00 90.00 90.00
Atoms (fractional coordinates):
Cs: 0.000 0.000 0.000
Sc: 0.500 0.500 0.500
Cl: 0.000 0.000 0.500
Cl: 0.000 0.500 0.000
Cl: 0.500 0.000 0.000

D(E_F), states/eV/cell: 12.0
VASP energy, eV per atom: -3.038
Calculated volume, Å³ per cell: 215
Energy relative to the elements, uncorrected, eV/f.u.: -1.62